(1)
This record from Alexandria via LeMat-Bulk describes a crystal of Ba3CrPb relaxed with PBEsol. The functional is meta-GGA SCAN.

POSCAR file:
```
Ba3CrPb
1.0
-5.4550 1.8218 -1.3684
-1.9526 -5.5676 0.3717
-1.1742 0.7949 5.7392
Ba Pb Cr
3 1 1
direct
0.5000 0.0000 0.0000
0.0000 0.0000 0.5000
0.0000 0.5000 0.0000
0.5000 0.5000 0.5000
0.0000 0.0000 0.0000
```

Formation energy ... 0.256 eV per atom
V ... 206.6 Å³/f.u.
E_tot ... -42.307 eV/atom
Density of states at the Fermi level ... 1.04 states/eV/atom


(2)
This record from Alexandria via LeMat-Bulk describes a crystal of TbP2Ru2 relaxed with PBEsol. The functional is meta-GGA SCAN.

POSCAR file:
```
TbP2Ru2
1.0
4.0027 0.0000 0.0000
0.0000 4.0027 0.0000
-2.0014 -2.0014 4.7497
P Tb Ru
2 1 2
direct
0.6246 0.6246 0.2492
0.3754 0.3754 0.7508
0.0000 0.0000 0.0000
0.2500 0.7500 0.5000
0.7500 0.2500 0.5000
```

Formation energy ... -1.141 eV per atom
V ... 76.1 Å³/f.u.
E_tot ... -28.584 eV/atom
Density of states at the Fermi level ... 0.38 states/eV/atom


(3)
This record from Alexandria via LeMat-Bulk describes a crystal of CaHg3F relaxed with PBEsol. The functional is meta-GGA SCAN.

POSCAR file:
```
CaHg3F
1.0
-3.6259 -2.7574 -2.0605
3.4146 -3.2599 -1.6463
-0.4355 -2.6012 4.2474
Hg F Ca
3 1 1
direct
0.0000 0.0000 0.5000
0.0000 0.5000 0.0000
0.5000 0.0000 0.0000
0.0000 0.0000 0.0000
0.5000 0.5000 0.5000
```

Formation energy (no corrections) ... -574 meV/atom
V ... 125.0 Å³/f.u.
E_tot ... -44.114 eV/atom
Density of states at the Fermi level ... 0.26 states/eV/atom


(4)
This record from Alexandria via LeMat-Bulk describes a crystal of CrAgBr2 relaxed with PBEsol. The functional is meta-GGA SCAN.

POSCAR file:
```
CrAgBr2
1.0
-3.0697 2.0362 0.3584
-1.5948 -2.8170 2.3444
2.3729 2.7183 4.8804
Cr Br Ag
1 2 1
direct
0.5000 0.5000 0.0000
0.0000 0.5000 0.5000
0.0000 0.0000 0.0000
0.5000 0.0000 0.5000
```

Offset from the most stable computed form ... 0.226 eV/f.u.
Formation energy (no corrections) ... -228 meV/atom
V ... 89.8 Å³/f.u.
E_tot ... -22.396 eV/atom
Density of states at the Fermi level ... 0.14 states/eV/atom